A plane-wave DFT calculation with PBE+U was carried out for crystalline K2MnIr3O12 at its relaxed geometry.

Cell lengths 7.102, 7.102, 7.102 Å; angles 60.93, 60.93, 60.93 degrees
Last column: magnetic moment on the atom in μB.
Element x y z (fractional)
K  0.625  0.625  0.625  0.00
K  0.375  0.375  0.375  0.00
Mn  0.000  0.000  0.000  3.32
Ir  0.500  0.000  0.000  -0.53
Ir  0.000  0.500  0.000  -0.53
Ir  0.000  0.000  0.500  -0.53
O  0.322  0.322  0.925  -0.01
O  0.929  0.929  0.321  -0.24
O  0.321  0.929  0.929  -0.24
O  0.925  0.322  0.322  -0.01
O  0.929  0.321  0.929  -0.24
O  0.322  0.925  0.322  -0.01
O  0.678  0.678  0.075  -0.01
O  0.071  0.071  0.679  -0.24
O  0.679  0.071  0.071  -0.24
O  0.075  0.678  0.678  -0.01
O  0.071  0.679  0.071  -0.24
O  0.678  0.075  0.678  -0.01

Computed properties:
For the total energy, the calculation gives -6.26 eV per atom.